Record 1
Here is a relaxed KRb2As2Pt crystal from the Alexandria database. Energies are from PBE-GGA.

Summary:
The calculated total energy is -3.411 eV per atom. As for the formation energy: -0.35 eV per atom. As for the crystal system: orthorhombic.

Cell lengths 8.9283, 8.9283, 8.9283 Å; angles 123.09, 78.71, 130.53 degrees
With the nearest neighbours (Å) after each atom.
Fractional coordinates of all 12 atoms:
K: 0.2500 0.2500 0.0000  4 As 3.36, 2 K 3.74
K: 0.7500 0.7500 0.0000  4 As 3.36, 2 K 3.74
Rb: 0.1980 0.6568 0.8547  3 As 3.43-3.74, 2 Pt 3.57
Rb: 0.3020 0.1568 0.4588  3 As 3.43-3.74, 2 Pt 3.57
Rb: 0.6980 0.8432 0.5412  3 As 3.43-3.74, 2 Pt 3.57
Rb: 0.8020 0.3432 0.1453  3 As 3.43-3.74, 2 Pt 3.57
As: 0.0501 0.3181 0.3682  2 Pt 2.52
As: 0.4499 0.8181 0.2680  2 Pt 2.52
As: 0.5501 0.1819 0.7320  2 Pt 2.52
As: 0.9499 0.6819 0.6318  2 Pt 2.52
Pt: 0.2500 0.7500 0.5000  4 As 2.52
Pt: 0.7500 0.2500 0.5000  4 As 2.52

Record 2
Here is a relaxed Na4Sc3BiTe8 crystal from the Alexandria database. Energies are from PBE-GGA.

Summary:
The calculated total energy is -4.348 eV per atom. As for the crystal system: trigonal.

Cell lengths 9.0449, 9.0449, 9.0449 Å; angles 57.07, 57.07, 57.07 degrees
With the nearest neighbours (Å) after each atom.
Fractional coordinates of all 16 atoms:
Na: 0.0000 0.0000 0.0000  6 Te 3.17
Na: 0.0000 0.5000 0.5000  6 Te 3.28-3.29
Na: 0.5000 0.0000 0.5000  6 Te 3.28-3.29
Na: 0.5000 0.5000 0.0000  6 Te 3.28-3.29
Sc: 0.0000 0.0000 0.5000  6 Te 2.97-2.99
Sc: 0.0000 0.5000 0.0000  6 Te 2.97-2.99
Sc: 0.5000 0.0000 0.0000  6 Te 2.97-2.99
Bi: 0.5000 0.5000 0.5000  6 Te 3.10
Te: 0.2272 0.7485 0.7485  2 Sc 2.97, 1 Bi 3.10, 3 Na 3.17-3.29
Te: 0.2393 0.2393 0.2393  3 Sc 2.99, 3 Na 3.28
Te: 0.2515 0.2515 0.7728  2 Sc 2.97, 1 Bi 3.10, 3 Na 3.17-3.29
Te: 0.2515 0.7728 0.2515  2 Sc 2.97, 1 Bi 3.10, 3 Na 3.17-3.29
Te: 0.7485 0.2272 0.7485  2 Sc 2.97, 1 Bi 3.10, 3 Na 3.17-3.29
Te: 0.7485 0.7485 0.2272  2 Sc 2.97, 1 Bi 3.10, 3 Na 3.17-3.29
Te: 0.7607 0.7607 0.7607  3 Sc 2.99, 3 Na 3.28
Te: 0.7728 0.2515 0.2515  2 Sc 2.97, 1 Bi 3.10, 3 Na 3.17-3.29